The following is a PBE+U calculation of an optimized crystal structure of SmMo2F11, from the Alexandria database.

## Properties
Energy, eV per atom: -5.758
V, Å³ per cell: 836.87

Cell: 7.726 9.918 10.922 Å, 90.00 90.00 90.00°
Space group Ibam (No. 72)
Inequivalent atoms, fractional coordinates:
Sm1 0.000 0.000 0.250
Mo1 0.140 0.319 0.000
F1 0.000 0.500 0.000
F2 0.095 0.187 0.138
F3 0.133 0.284 0.500
F4 0.236 0.071 0.370